(1)
Here is PrBiPd5 after structural relaxation from the Alexandria database. Energies are from GGA-PBE.

a = 5.557 Å, b = 8.874 Å, c = 11.060 Å
α = 90.00°, β = 90.00°, γ = 90.00°
Atoms (fractional coordinates):
Pd 0.250 0.426 0.415
Pd 0.750 0.818 0.766
Pd 0.750 0.074 0.915
Pd 0.750 0.905 0.522
Pd 0.505 0.436 0.196
Pd 0.250 0.682 0.266
Pd 0.750 0.318 0.734
Pd 0.005 0.564 0.804
Pd 0.005 0.064 0.696
Pd 0.995 0.436 0.196
Pd 0.250 0.182 0.234
Pd 0.750 0.405 0.978
Pd 0.750 0.574 0.585
Pd 0.505 0.936 0.304
Pd 0.250 0.926 0.085
Pd 0.495 0.064 0.696
Pd 0.995 0.936 0.304
Pd 0.250 0.595 0.022
Pd 0.495 0.564 0.804
Pd 0.250 0.095 0.478
Bi 0.250 0.847 0.850
Bi 0.750 0.653 0.350
Bi 0.750 0.153 0.150
Bi 0.250 0.347 0.650
Pr 0.750 0.746 0.051
Pr 0.250 0.254 0.949
Pr 0.250 0.754 0.551
Pr 0.750 0.246 0.449

The density of states at the Fermi level comes out at 0.619 states/eV/atom. As for the volume: 19.5 Å³/atom. As for the formation energy: -0.519 eV/atom. For the total moment, the calculation gives 0.00 μB/atom.

=====

(2)
Here is Pr2BiPd after structural relaxation from the Alexandria database. Energies are from GGA-PBE.

a = 4.470 Å, b = 4.470 Å, c = 7.708 Å
α = 73.14°, β = 73.14°, γ = 60.00°
Atoms (fractional coordinates):
Pr 0.741 0.741 0.777
Pr 0.259 0.259 0.223
Bi 0.500 0.500 0.500
Pd 0.000 0.000 0.000

The calculation puts the energy above the lowest structure with this stoichiometry at 0.081 eV per atom. The density of states at the Fermi level comes out at 0.694 states/eV/atom. As for the volume: 31.4 Å³/atom. As for the formation energy: -0.696 eV/atom. For the total moment, the calculation gives 0.00 μB/atom.

=====

(3)
Here is PrBi2Pd after structural relaxation from the Alexandria database. Energies are from GGA-PBE.

a = 4.394 Å, b = 4.908 Å, c = 4.908 Å
α = 90.00°, β = 90.00°, γ = 90.00°
Atoms (fractional coordinates):
Bi 0.000 0.000 0.500
Bi 0.000 0.500 0.000
Pr 0.500 0.500 0.500
Pd 0.500 0.000 0.000

The density of states at the Fermi level comes out at 0.424 states/eV/atom. As for the volume: 26.5 Å³/atom. As for the formation energy: -0.514 eV/atom. For the total moment, the calculation gives 0.00 μB/atom.

=====

(4)
Here is PrBi6Pd12 after structural relaxation from the Alexandria database. Energies are from GGA-PBE.

a = 7.748 Å, b = 7.748 Å, c = 7.748 Å
α = 103.63°, β = 103.63°, γ = 103.63°
Atoms (fractional coordinates):
Bi 0.330 0.738 0.738
Bi 0.670 0.262 0.262
Bi 0.262 0.262 0.670
Bi 0.738 0.330 0.738
Bi 0.738 0.738 0.330
Bi 0.262 0.670 0.262
Pd 0.881 0.500 0.119
Pd 0.900 0.664 0.664
Pd 0.336 0.336 0.100
Pd 0.881 0.119 0.500
Pd 0.100 0.336 0.336
Pd 0.664 0.900 0.664
Pd 0.664 0.664 0.900
Pd 0.500 0.881 0.119
Pd 0.119 0.500 0.881
Pd 0.500 0.119 0.881
Pd 0.336 0.100 0.336
Pd 0.119 0.881 0.500
Pr 0.000 0.000 0.000

The density of states at the Fermi level comes out at 0.415 states/eV/atom. As for the volume: 22.0 Å³/atom. As for the formation energy: -0.223 eV/atom. For the total moment, the calculation gives 0.00 μB/atom.